Record 1
SrYAg2 (GGA-PBEsol, optimized geometry); DFT formation energy = -0.80 eV per formula unit; V = 100 Å³/cell; E above lowest polymorph = 0.032 eV/atom; total magnetization = 0.000 μB/atom
1.0
5.215 0.000 0.000
2.608 4.517 0.000
2.608 1.506 4.258
Y Ag Sr
1 2 1
Direct
0.500 0.500 0.500 Y
0.250 0.250 0.250 Ag
0.750 0.750 0.750 Ag
0.000 0.000 0.000 Sr

Record 2
SrTiP2O8 (GGA-PBEsol, optimized geometry); formation energy (no corrections) = -254 kJ/mol of atoms; V = 315 Å³/cell; total magnetization = 0.000 μB/atom
1.0
-4.886 -2.223 0.526
0.548 -0.090 -7.068
5.203 -6.651 3.268
O P Ti Sr
16 4 2 2
Direct
0.615 0.979 0.381 O
0.342 0.537 0.843 O
0.658 0.463 0.157 O
0.987 0.750 0.585 O
0.270 0.996 0.872 O
0.947 0.091 0.684 O
0.385 0.021 0.619 O
0.013 0.250 0.415 O
0.395 0.229 0.263 O
0.515 0.394 0.603 O
0.177 0.447 0.127 O
0.053 0.909 0.316 O
0.485 0.606 0.397 O
0.730 0.004 0.128 O
0.605 0.771 0.737 O
0.823 0.553 0.873 O
0.158 0.964 0.698 P
0.429 0.435 0.225 P
0.842 0.036 0.302 P
0.571 0.565 0.775 P
0.663 0.835 0.559 Ti
0.337 0.165 0.441 Ti
0.227 0.776 0.052 Sr
0.773 0.224 0.948 Sr

Record 3
Mg2HIr (GGA-PBEsol, optimized geometry); DFT total energy = -3.882 eV/atom; V = 57 Å³/cell; total magnetization = 0.000 μB/atom
1.0
-1.782 -3.569 -1.683
2.116 -2.254 -3.031
1.641 -3.893 0.948
H Mg Ir
1 2 1
Direct
0.000 0.000 0.000 H
0.750 0.750 0.750 Mg
0.250 0.250 0.250 Mg
0.500 0.500 0.500 Ir

Record 4
Ba2Mo6S9 (GGA-PBEsol, optimized geometry); formation energy (no corrections) = -110 kJ/mol of atoms; V = 1378 Å³/cell; total magnetization = 0.000 μB/atom
1.0
10.606 0.000 0.000
-5.303 9.185 0.000
0.000 0.000 14.140
S Mo Ba
36 24 8
Direct
0.333 0.667 0.250 S
0.486 0.972 0.363 S
0.028 0.514 0.363 S
0.333 0.667 0.641 S
0.667 0.333 0.360 S
0.486 0.972 0.137 S
0.640 0.820 0.513 S
0.486 0.514 0.137 S
0.820 0.180 0.013 S
0.865 0.135 0.745 S
0.820 0.640 0.488 S
0.180 0.360 0.513 S
0.180 0.820 0.988 S
0.972 0.486 0.863 S
0.729 0.865 0.245 S
0.180 0.360 0.988 S
0.360 0.180 0.488 S
0.028 0.514 0.137 S
0.360 0.180 0.013 S
0.514 0.028 0.863 S
0.514 0.486 0.863 S
0.333 0.667 0.860 S
0.486 0.514 0.363 S
0.180 0.820 0.513 S
0.135 0.865 0.245 S
0.972 0.486 0.637 S
0.820 0.640 0.013 S
0.667 0.333 0.141 S
0.271 0.135 0.745 S
0.820 0.180 0.488 S
0.640 0.820 0.988 S
0.514 0.028 0.637 S
0.514 0.486 0.637 S
0.135 0.271 0.245 S
0.865 0.729 0.745 S
0.667 0.333 0.750 S
0.582 0.164 0.012 Mo
0.418 0.582 0.512 Mo
0.418 0.582 0.988 Mo
0.242 0.758 0.139 Mo
0.516 0.758 0.139 Mo
0.418 0.836 0.512 Mo
0.759 0.241 0.860 Mo
0.758 0.516 0.639 Mo
0.836 0.418 0.488 Mo
0.836 0.418 0.012 Mo
0.418 0.836 0.988 Mo
0.484 0.242 0.639 Mo
0.758 0.242 0.639 Mo
0.483 0.241 0.860 Mo
0.242 0.484 0.139 Mo
0.582 0.164 0.488 Mo
0.759 0.517 0.860 Mo
0.582 0.418 0.488 Mo
0.517 0.759 0.360 Mo
0.582 0.418 0.012 Mo
0.241 0.759 0.360 Mo
0.241 0.483 0.360 Mo
0.164 0.582 0.512 Mo
0.164 0.582 0.988 Mo
0.000 0.000 0.559 Ba
0.188 0.375 0.755 Ba
0.000 0.000 0.059 Ba
0.812 0.625 0.255 Ba
0.812 0.188 0.255 Ba
0.188 0.812 0.755 Ba
0.375 0.188 0.255 Ba
0.625 0.812 0.755 Ba

Record 5
MnCd2Pb (GGA-PBEsol, optimized geometry); DFT formation energy = 1.38 eV per formula unit; V = 85 Å³/cell; total magnetization = 0.903 μB/atom
1.0
3.199 0.000 0.000
1.599 2.770 0.000
1.599 0.923 9.547
Pb Cd Mn
1 2 1
Direct
0.243 0.243 0.272 Pb
0.756 0.756 0.732 Cd
0.005 0.005 0.985 Cd
0.496 0.496 0.511 Mn

Record 6
SrTaC2 (GGA-PBEsol, optimized geometry); DFT formation energy = 5.90 eV per formula unit; V = 53 Å³/cell; total magnetization = 0.000 μB/atom
1.0
4.208 0.000 0.000
2.104 3.644 0.000
2.104 1.215 3.436
C Sr Ta
2 1 1
Direct
0.250 0.250 0.250 C
0.750 0.750 0.750 C
0.000 0.000 0.000 Sr
0.500 0.500 0.500 Ta

Record 7
EuIn4Au (GGA-PBEsol, optimized geometry); DFT formation energy = -2.58 eV per formula unit; V = 286 Å³/cell; total magnetization = 1.168 μB/atom
1.0
4.564 0.000 0.000
0.000 7.411 0.000
-2.282 0.000 8.470
In Eu Au
8 2 2
Direct
0.178 0.454 0.356 In
0.822 0.954 0.644 In
0.000 0.000 0.000 In
0.438 0.750 0.877 In
0.178 0.046 0.356 In
0.562 0.250 0.123 In
0.000 0.500 0.000 In
0.822 0.546 0.644 In
0.625 0.750 0.249 Eu
0.375 0.250 0.751 Eu
0.276 0.750 0.552 Au
0.724 0.250 0.448 Au

Record 8
Ce (GGA-PBEsol, optimized geometry); DFT formation energy = 0.11 eV per formula unit; V = 71 Å³/cell; E above lowest polymorph = 0.108 eV/atom; total magnetization = 0.001 μB/atom
1.0
3.041 0.000 0.000
0.000 5.188 0.000
0.000 -2.594 4.493
Ce
3
Direct
0.000 0.000 0.000 Ce
0.500 0.333 0.667 Ce
0.500 0.667 0.333 Ce

Record 9
Al2AsCl (GGA-PBEsol, optimized geometry); formation energy (no corrections) = -22 kJ/mol of atoms; V = 82 Å³/cell; total magnetization = 0.000 μB/atom
1.0
3.843 0.000 0.000
1.922 3.329 0.000
1.922 1.110 6.410
Al Cl As
2 1 1
Direct
0.763 0.763 0.712 Al
0.237 0.237 0.288 Al
0.000 0.000 0.000 Cl
0.500 0.500 0.500 As

Record 10
AgPd2OF (GGA-PBEsol, optimized geometry); formation energy (no corrections) = -14 kJ/mol of atoms; V = 72 Å³/cell; total magnetization = 0.001 μB/atom
1.0
-2.803 -2.601 -0.511
2.006 -1.596 -2.883
2.183 -2.974 3.165
Ag Pd O F
1 2 1 1
Direct
0.500 0.500 0.500 Ag
0.000 0.500 0.000 Pd
0.500 0.000 0.000 Pd
0.000 0.000 0.000 O
0.000 0.000 0.500 F

Record 11
MnCr2Mo (GGA-PBEsol, optimized geometry); DFT formation energy = 1.00 eV per formula unit; V = 49 Å³/cell; E above lowest polymorph = 0.146 eV/atom; total magnetization = 0.000 μB/atom
1.0
2.577 0.000 0.000
0.000 2.577 0.000
0.000 0.000 7.332
Mo Cr Mn
1 2 1
Direct
0.500 0.500 0.500 Mo
0.000 0.000 0.789 Cr
0.000 0.000 0.211 Cr
0.500 0.500 0.000 Mn

Record 12
BaSrCu2 (GGA-PBEsol, optimized geometry); DFT formation energy = 1.41 eV per formula unit; V = 94 Å³/cell; E above lowest polymorph = 0.337 eV/atom; total magnetization = 0.000 μB/atom
1.0
5.098 0.000 0.000
2.549 4.415 0.000
2.549 1.472 4.162
Cu Sr Ba
2 1 1
Direct
0.750 0.750 0.750 Cu
0.000 0.000 0.000 Cu
0.250 0.250 0.250 Sr
0.500 0.500 0.500 Ba

Record 13
Pr2Re3Si5 (GGA-PBEsol, optimized geometry); formation energy (no corrections) = -59 kJ/mol of atoms; V = 683 Å³/cell; total magnetization = 0.000 μB/atom
1.0
-0.839 4.904 2.729
-10.812 -1.870 0.038
0.932 -5.195 9.620
Si Re Pr
20 12 8
Direct
0.262 0.000 0.000 Si
0.250 0.171 0.329 Si
0.500 0.976 0.316 Si
0.238 0.500 0.500 Si
0.750 0.171 0.329 Si
0.000 0.184 0.524 Si
0.000 0.816 0.476 Si
0.500 0.024 0.684 Si
0.250 0.671 0.171 Si
0.250 0.329 0.829 Si
0.000 0.524 0.816 Si
0.762 0.500 0.500 Si
0.500 0.684 0.976 Si
0.500 0.316 0.024 Si
0.750 0.329 0.829 Si
0.000 0.476 0.184 Si
0.750 0.829 0.671 Si
0.738 0.000 0.000 Si
0.750 0.671 0.171 Si
0.250 0.829 0.671 Si
0.000 0.352 0.376 Re
0.750 0.500 0.000 Re
0.500 0.148 0.876 Re
0.250 0.000 0.500 Re
0.000 0.624 0.352 Re
0.500 0.852 0.124 Re
0.750 0.000 0.500 Re
0.500 0.124 0.148 Re
0.000 0.376 0.648 Re
0.500 0.876 0.852 Re
0.250 0.500 0.000 Re
0.000 0.648 0.624 Re
0.500 0.736 0.423 Pr
0.000 0.764 0.923 Pr
0.000 0.236 0.077 Pr
0.000 0.923 0.236 Pr
0.000 0.077 0.764 Pr
0.500 0.577 0.736 Pr
0.500 0.423 0.264 Pr
0.500 0.264 0.577 Pr

Record 14
WSe3O (GGA-PBEsol, optimized geometry); formation energy (no corrections) = 69 kJ/mol of atoms; V = 112 Å³/cell; total magnetization = 0.316 μB/atom
1.0
-4.726 -0.303 -0.938
0.304 -4.818 0.028
-0.938 -0.032 4.735
Se W O
3 1 1
Direct
0.000 0.500 0.000 Se
0.500 0.000 0.000 Se
0.000 0.000 0.500 Se
0.000 0.000 0.000 W
0.500 0.500 0.500 O

Record 15
BaYHgRu2 (GGA-PBEsol, optimized geometry); DFT formation energy = 5.85 eV per formula unit; V = 135 Å³/cell; total magnetization = 0.003 μB/atom
1.0
5.115 0.000 0.000
0.000 5.115 0.000
0.000 0.000 5.179
Ru Ba Hg Y
2 1 1 1
Direct
0.000 0.500 0.000 Ru
0.500 0.000 0.000 Ru
0.500 0.500 0.500 Ba
0.000 0.000 0.000 Hg
0.000 0.000 0.500 Y

Record 16
Rb2PbN2 (GGA-PBEsol, optimized geometry); formation energy (no corrections) = 11 kJ/mol of atoms; V = 185 Å³/cell; total magnetization = 0.405 μB/atom
1.0
-0.928 5.503 -2.781
-3.803 -1.654 4.986
0.793 2.895 5.465
Rb N Pb
2 2 1
Direct
0.250 0.500 0.250 Rb
0.750 0.500 0.750 Rb
0.441 0.882 0.559 N
0.559 0.118 0.441 N
0.000 0.000 0.000 Pb

Record 17
Tl2CdP (GGA-PBEsol, optimized geometry); DFT formation energy = 1.12 eV per formula unit; V = 95 Å³/cell; E above lowest polymorph = 0.101 eV/atom; total magnetization = 0.000 μB/atom
1.0
5.118 0.000 0.000
2.559 4.432 0.000
2.559 1.477 4.178
Tl P Cd
2 1 1
Direct
0.750 0.750 0.750 Tl
0.000 0.000 0.000 Tl
0.250 0.250 0.250 P
0.500 0.500 0.500 Cd

Record 18
SrLi2Pd2 (GGA-PBEsol, optimized geometry); DFT formation energy = -1.78 eV per formula unit; V = 97 Å³/cell; E above lowest polymorph = 0.000 eV/atom; total magnetization = 0.000 μB/atom
1.0
4.135 0.000 0.000
0.000 4.135 0.000
-2.067 -2.067 5.688
Sr Li Pd
1 2 2
Direct
0.000 0.000 0.000 Sr
0.750 0.250 0.500 Li
0.250 0.750 0.500 Li
0.385 0.385 0.770 Pd
0.615 0.615 0.230 Pd

Record 19
DyCu (GGA-PBEsol, optimized geometry); DFT formation energy = -0.46 eV per formula unit; V = 39 Å³/cell; total magnetization = 0.000 μB/atom
1.0
-1.210 -2.258 -2.244
0.671 -2.528 2.181
-3.112 0.333 1.343
Cu Dy
1 1
Direct
0.000 0.000 0.000 Cu
0.500 0.500 0.500 Dy

Record 20
RbDyBeF6 (GGA-PBEsol, optimized geometry); formation energy (no corrections) = -351 kJ/mol of atoms; V = 244 Å³/cell; total magnetization = 0.000 μB/atom
1.0
5.810 0.000 0.000
0.000 6.412 -0.033
0.000 -2.838 6.566
Be F Dy Rb
2 12 2 2
Direct
0.750 0.231 0.463 Be
0.250 0.769 0.537 Be
0.498 0.679 0.971 F
0.998 0.321 0.029 F
0.466 0.758 0.405 F
0.250 0.999 0.730 F
0.534 0.242 0.595 F
0.250 0.570 0.606 F
0.750 0.001 0.270 F
0.750 0.430 0.394 F
0.002 0.679 0.971 F
0.502 0.321 0.029 F
0.966 0.242 0.595 F
0.034 0.758 0.405 F
0.250 0.392 0.823 Dy
0.750 0.608 0.177 Dy
0.750 0.919 0.786 Rb
0.250 0.081 0.214 Rb

Record 21
Y3CoP (GGA-PBEsol, optimized geometry); DFT formation energy = 0.13 eV per formula unit; V = 137 Å³/cell; total magnetization = 0.148 μB/atom
1.0
-4.784 0.873 -1.711
-1.634 -4.265 2.391
-1.010 2.761 4.234
Co Y P
1 3 1
Direct
0.500 0.500 0.500 Co
0.000 0.500 0.000 Y
0.500 0.000 0.000 Y
0.000 0.000 0.500 Y
0.000 0.000 0.000 P

Record 22
CuGePO2 (GGA-PBEsol, optimized geometry); formation energy (no corrections) = -19 kJ/mol of atoms; V = 67 Å³/cell; total magnetization = 0.000 μB/atom
1.0
3.522 0.000 0.000
0.000 3.522 0.000
0.000 0.000 5.402
Ge Cu O P
1 1 2 1
Direct
0.000 0.000 0.000 Ge
0.500 0.500 0.500 Cu
0.500 0.000 0.000 O
0.000 0.500 0.000 O
0.000 0.000 0.500 P